# 1
Y2BeSe, optimized geometry, DFT GGA-PBE; E above lowest polymorph = 82 meV per atom; SG = Cm
1.0
5.371 -1.900 0.000
5.371 1.900 0.000
-0.462 0.000 4.276
Y Be Se
2 1 1
direct
0.000 0.000 0.000
0.718 0.718 0.536
0.263 0.263 0.063
0.437 0.437 0.474

***

# 2
YZrBe2Se, optimized geometry, DFT GGA-PBE; SG = P4/mmm
1.0
4.458 0.000 0.000
0.000 4.458 0.000
0.000 0.000 5.218
Y Zr Be Se
1 1 2 1
direct
0.000 0.000 0.000
0.500 0.500 0.000
0.000 0.500 0.500
0.500 0.000 0.500
0.000 0.000 0.500

***

no.,raw formation energy (eV per atom),energy (eV/atom)
1,-0.710,-5.745
2,0.566,-4.624